# 1
Material: GaFeH2
Method: DFT, PBE
State: optimized geometry

a b c (Å): 3.6354 3.6354 5.5377
angles (deg): 70.84 70.84 90.00
Closest atoms and distances in Å follow each position.
Positions (direct):
Ga 0.0000 0.0000 0.0000  4 H 2.00
Ga 0.7500 0.2500 0.5000  4 H 2.00
H 0.5190 0.1250 0.2500  2 Fe 1.61
H 0.2310 0.6250 0.2500  2 Fe 1.61
H 0.8750 0.7690 0.7500  2 Fe 1.61
H 0.3750 0.4810 0.7500  2 Fe 1.61
Fe 0.5000 0.5000 0.0000  4 H 1.61
Fe 0.2500 0.7500 0.5000  4 H 1.61


# 2
Material: TaZnCr2
Method: DFT, PBE
State: optimized geometry

Properties
* E_form: 0.439 eV per atom

a b c (Å): 8.7550 8.7550 8.7550
angles (deg): 18.77 18.77 18.77
Closest atoms and distances in Å follow each position.
Positions (direct):
Cr 0.0008 0.0008 0.0008  3 Zn 2.69, 3 Ta 2.73, 6 Cr 2.86
Cr 0.4992 0.4992 0.4992  3 Zn 2.69, 3 Ta 2.73, 6 Cr 2.86
Ta 0.2500 0.2500 0.2500  6 Cr 2.73, 6 Ta 2.86
Zn 0.7500 0.7500 0.7500  6 Cr 2.69, 6 Zn 2.86


# 3
Material: Ac2ZrP2N6
Method: DFT, PBE
State: optimized geometry

Properties
* ΔE_f (raw): -1179 meV/atom

a b c (Å): 5.7266 5.7266 6.4719
angles (deg): 63.74 63.74 60.00
Closest atoms and distances in Å follow each position.
Positions (direct):
N 0.2540 0.2540 0.7607  1 P 1.63
N 0.7314 0.2540 0.7607  1 P 1.63
N 0.2686 0.7460 0.2393  1 P 1.63
N 0.7460 0.2686 0.2393  1 P 1.63
N 0.2540 0.7314 0.7607  1 P 1.63
N 0.7460 0.7460 0.2393  1 P 1.63
Ac 0.7686 0.7686 0.6943  9 N 2.89-3.06
Ac 0.2314 0.2314 0.3057  9 N 2.89-3.06
P 0.5631 0.5631 0.3107  3 N 1.63
P 0.4369 0.4369 0.6893  3 N 1.63
Zr 0.0000 0.0000 0.0000  6 N 2.18


# 4
Material: Rb5CdHg4
Method: DFT, PBE
State: optimized geometry

Properties
* E_form: -0.168 eV per atom

a b c (Å): 5.0327 9.3030 11.6587
angles (deg): 112.22 102.46 90.00
Closest atoms and distances in Å follow each position.
Positions (direct):
Hg 0.9643 0.7725 0.9285  2 Hg 3.15, 2 Cd 3.18
Hg 0.6262 0.3029 0.2523  1 Cd 3.15, 2 Hg 3.15
Hg 0.0357 0.2275 0.0715  2 Hg 3.15, 2 Cd 3.18
Hg 0.3738 0.6971 0.7477  1 Cd 3.15, 2 Hg 3.15
Rb 0.8054 0.3954 0.6107  4 Hg 3.64-3.95
Rb 0.1946 0.6046 0.3893  4 Hg 3.64-3.95
Rb 0.5000 0.5000 0.0000  6 Hg 3.88-3.96
Rb 0.8620 0.9884 0.7240  4 Hg 3.62-3.78, 2 Cd 3.99
Rb 0.1380 0.0116 0.2760  4 Hg 3.62-3.78, 2 Cd 3.99
Cd 0.5000 0.0000 0.0000  6 Hg 3.15-3.18


# 5
Material: Mg4ScAg
Method: DFT, PBE
State: optimized geometry

Properties
* E_form: 0.115 eV per atom

a b c (Å): 5.7433 5.7433 5.7433
angles (deg): 60.00 60.00 60.00
Closest atoms and distances in Å follow each position.
Positions (direct):
Sc 0.7500 0.7500 0.7500  12 Mg 3.37, 4 Ag 3.52
Mg 0.3753 0.8741 0.3753  6 Mg 2.87-2.88
Mg 0.3753 0.3753 0.3753  6 Mg 2.87-2.88
Mg 0.8741 0.3753 0.3753  6 Mg 2.87-2.88
Mg 0.3753 0.3753 0.8741  6 Mg 2.87-2.88
Ag 0.0000 0.0000 0.0000  12 Mg 3.37, 4 Sc 3.52


# 6
Material: MnSn2HgPb
Method: DFT, PBE
State: optimized geometry

Properties
* E_form: 0.168 eV per atom

a b c (Å): 5.0287 5.0287 5.1732
angles (deg): 90.00 90.00 90.00
Closest atoms and distances in Å follow each position.
Positions (direct):
Pb 0.0000 0.0000 0.5000  2 Mn 2.59
Hg 0.5000 0.5000 0.5000  4 Pb 3.56, 8 Sn 3.61
Sn 0.0000 0.5000 0.0000  2 Mn 2.51
Sn 0.5000 0.0000 0.0000  2 Mn 2.51
Mn 0.0000 0.0000 0.0000  4 Sn 2.51, 2 Pb 2.59


Density of states at the Fermi level / states/eV/cell: 2.8, 2.8, 0.0, 5.6, 5.6, 2.9
Electronic total energy / eV per atom: -4.250, -7.654, -8.228, -0.864, -2.478, -4.069
Size of the total moment / Bohr magnetons per cell: 0.000, 3.905, 0.000, 0.000, 0.000, 0.919